This record from Alexandria via LeMat-Bulk describes crystalline CrCoRu at its relaxed geometry. The functional is PBEsol.

Structure (extended XYZ):
```
3
Lattice="-1.8432 1.4724 3.0528 1.2772 -0.7380 3.5650 1.6446 2.8034 2.0789" Properties=species:S:1:pos:R:3 pbc="T T T"
Co 0.2696 0.8844 2.1742
Cr 0.0000 0.0000 0.0000
Ru 0.5393 1.7688 4.3484
```

Summary:
As for the energy relative to the elements: 73.50 kJ per mole of atoms. As for the space-group type: F-43m (216). The value obtained for the calculated volume is 13.5 Å³ per atom.